Below is a relaxed PuCdRh2 crystal, with properties calculated at the PBE-GGA level.

Lattice parameters (Å, degrees): 4.4896 4.4896 3.6139 90.00 90.00 90.00
Last column: nearest neighbours and their distance in Å.
Space group P4/mmm (No. 123)
Unique sites:
Pu (0.0000, 0.0000, 0.0000)  8 Rh 2.88, 4 Cd 3.17
Cd (0.5000, 0.5000, 0.0000)  8 Rh 2.88, 4 Pu 3.17
Rh (0.0000, 0.5000, 0.5000)  4 Cd 2.88, 4 Pu 2.88, 4 Rh 3.17

Calculated values
Formation energy from the elements ... -393 meV/atom
N(E_F) ... 2.247 states/eV/atom
E ... -7.881 eV/atom
Crystal system ... tetragonal

=====

Below is a relaxed Pu2Cd2Rh15 crystal, with properties calculated at the PBE-GGA level.

Lattice parameters (Å, degrees): 9.0576 9.0576 13.2941 90.00 90.00 120.00
Last column: nearest neighbours and their distance in Å.
Space group R-3m (No. 166, hexagonal axes)
Unique sites:
Pu (0.0000, 0.0000, 0.1477)  12 Rh 3.11-3.33, 1 Cd 3.32
Cd (0.0000, 0.0000, 0.3974)  1 Cd 2.73, 6 Rh 2.75-2.87
Rh (0.0000, 0.3094, 0.5000)  8 Rh 2.63-2.80
Rh (0.0000, 0.5000, 0.0000)  8 Rh 2.63-2.65, 2 Cd 2.75
Rh (0.0083, 0.5041, 0.6530)  8 Rh 2.58-2.79, 1 Cd 2.87

Calculated values
Formation energy from the elements ... -95 meV/atom
N(E_F) ... 2.184 states/eV/atom
E ... -7.503 eV/atom
Crystal system ... trigonal

=====

Below is a relaxed PuCdRh2 crystal, with properties calculated at the PBE-GGA level.

Lattice parameters (Å, degrees): 6.6462 6.6462 6.6462 90.00 90.00 90.00
Last column: nearest neighbours and their distance in Å.
Space group Fm-3m (No. 225)
Unique sites:
Pu (0.0000, 0.0000, 0.0000)  8 Rh 2.88
Cd (0.0000, 0.0000, 0.5000)  8 Rh 2.88
Rh (0.2500, 0.2500, 0.2500)  4 Cd 2.88, 4 Pu 2.88

Calculated values
Formation energy from the elements ... -386 meV/atom
N(E_F) ... 1.666 states/eV/atom
E ... -7.874 eV/atom
Crystal system ... cubic

=====

Below is a relaxed PuCdRh crystal, with properties calculated at the PBE-GGA level.

Lattice parameters (Å, degrees): 6.6199 6.6199 6.6199 90.00 90.00 90.00
Last column: nearest neighbours and their distance in Å.
Space group F-43m (No. 216)
Unique sites:
Pu (0.0000, 0.0000, 0.0000)  4 Rh 2.87
Cd (0.0000, 0.0000, 0.5000)  4 Rh 2.87
Rh (0.2500, 0.2500, 0.2500)  4 Cd 2.87, 4 Pu 2.87

Calculated values
Formation energy from the elements ... -134 meV/atom
N(E_F) ... 3.690 states/eV/atom
E ... -7.667 eV/atom
Crystal system ... cubic

=====

Below is a relaxed PuCdRh2 crystal, with properties calculated at the PBE-GGA level.

Lattice parameters (Å, degrees): 3.3720 3.3720 6.4859 90.00 90.00 90.00
Last column: nearest neighbours and their distance in Å.
Space group P4/mmm (No. 123)
Unique sites:
Pu (0.0000, 0.0000, 0.0000)  8 Rh 2.88
Cd (0.0000, 0.0000, 0.5000)  8 Rh 2.88
Rh (0.5000, 0.5000, 0.2499)  4 Pu 2.88, 4 Cd 2.88

Calculated values
Formation energy from the elements ... -302 meV/atom
N(E_F) ... 2.665 states/eV/atom
E ... -7.789 eV/atom
Crystal system ... tetragonal

=====

Below is a relaxed Pu6CdRh2 crystal, with properties calculated at the PBE-GGA level.

Lattice parameters (Å, degrees): 4.7369 4.7369 9.3993 90.00 90.00 90.00
Last column: nearest neighbours and their distance in Å.
Space group P4/mmm (No. 123)
Unique sites:
Pu (0.0000, 0.0000, 0.0000)  12 Pu 3.19-3.35
Pu (0.0000, 0.5000, 0.2268)  2 Rh 2.70
Pu (0.5000, 0.5000, 0.0000)  12 Pu 3.19-3.35, 2 Rh 3.42
Cd (0.0000, 0.0000, 0.5000)  8 Pu 3.49, 8 Rh 3.58
Rh (0.5000, 0.5000, 0.3641)  1 Rh 2.55, 4 Pu 2.70

Calculated values
Formation energy from the elements ... 81 meV/atom
N(E_F) ... 4.383 states/eV/atom
E ... -11.209 eV/atom
Crystal system ... tetragonal

=====

Below is a relaxed PuCd3Rh2 crystal, with properties calculated at the PBE-GGA level.

Lattice parameters (Å, degrees): 15.2747 4.1449 8.6333 90.00 113.84 90.00
Last column: nearest neighbours and their distance in Å.
Space group C2/m (No. 12)
Unique sites:
Pu (0.1219, 0.0000, 0.1617)  4 Rh 2.64-2.72
Cd (0.0491, 0.0000, 0.6803)  3 Cd 2.86-2.96, 3 Rh 2.86-2.93
Cd (0.1557, 0.5000, 0.5000)  4 Rh 2.84-2.94
Cd (0.1799, 0.5000, 0.8962)  4 Rh 2.80-2.92, 4 Cd 2.96-3.00
Rh (0.0144, 0.5000, 0.1618)  2 Pu 2.64, 1 Rh 2.65, 4 Cd 2.80-2.86
Rh (0.2479, 0.5000, 0.2597)  2 Pu 2.72, 7 Cd 2.88-2.94

Calculated values
Formation energy from the elements ... -204 meV/atom
N(E_F) ... 1.572 states/eV/atom
E ... -5.500 eV/atom
Crystal system ... monoclinic

=====

Below is a relaxed Pu4CdRh2 crystal, with properties calculated at the PBE-GGA level.

Lattice parameters (Å, degrees): 4.9410 4.9410 21.2572 90.00 90.00 120.00
Last column: nearest neighbours and their distance in Å.
Space group R-3m (No. 166, hexagonal axes)
Unique sites:
Pu (0.0000, 0.0000, 0.0724)  4 Pu 2.89-3.08, 3 Rh 2.97
Pu (0.0000, 0.0000, 0.2388)  1 Rh 2.72, 3 Pu 2.89
Cd (0.0000, 0.0000, 0.5000)  2 Rh 2.83
Rh (0.0000, 0.0000, 0.3667)  4 Pu 2.72-2.97, 1 Cd 2.83

Calculated values
Formation energy from the elements ... -129 meV/atom
N(E_F) ... 3.338 states/eV/atom
E ... -10.549 eV/atom
Crystal system ... trigonal

=====

Below is a relaxed PuCd3Rh4 crystal, with properties calculated at the PBE-GGA level.

Lattice parameters (Å, degrees): 4.6053 4.6053 6.6045 90.00 90.00 90.00
Last column: nearest neighbours and their distance in Å.
Space group P4/mmm (No. 123)
Unique sites:
Pu (0.0000, 0.0000, 0.0000)  8 Rh 2.82
Cd (0.0000, 0.0000, 0.5000)  8 Rh 2.84
Cd (0.5000, 0.5000, 0.0000)  8 Rh 2.82
Cd (0.5000, 0.5000, 0.5000)  8 Rh 2.84
Rh (0.0000, 0.5000, 0.2473)  6 Cd 2.82-2.84, 2 Pu 2.82

Calculated values
Formation energy from the elements ... -255 meV/atom
N(E_F) ... 1.490 states/eV/atom
E ... -6.066 eV/atom
Crystal system ... tetragonal

=====

Below is a relaxed Pu2CdRh crystal, with properties calculated at the PBE-GGA level.

Lattice parameters (Å, degrees): 5.4373 5.4373 3.0765 90.00 90.00 90.00
Last column: nearest neighbours and their distance in Å.
Space group P4/mmm (No. 123)
Unique sites:
Pu (0.0000, 0.5000, 0.0000)  2 Pu 3.08, 4 Cd 3.12, 4 Rh 3.12
Cd (0.0000, 0.0000, 0.5000)  2 Cd 3.08, 8 Pu 3.12
Rh (0.5000, 0.5000, 0.5000)  2 Rh 3.08, 8 Pu 3.12

Calculated values
Formation energy from the elements ... -29 meV/atom
N(E_F) ... 4.115 states/eV/atom
E ... -9.262 eV/atom
Crystal system ... tetragonal

=====

Below is a relaxed Pu2CdSi2Rh5 crystal, with properties calculated at the PBE-GGA level.

Lattice parameters (Å, degrees): 9.8732 9.8732 3.5132 90.00 90.00 90.00
Last column: nearest neighbours and their distance in Å.
Space group P4/mbm (No. 127)
Unique sites:
Pu (0.1758, 0.3242, 0.0000)  3 Si 2.81-3.00, 6 Rh 3.02-3.10
Cd (0.0000, 0.0000, 0.0000)  8 Rh 2.86
Si (0.1230, 0.6230, 0.0000)  6 Rh 2.42-2.46
Rh (0.0000, 0.5000, 0.5000)  4 Si 2.46
Rh (0.0692, 0.7822, 0.5000)  2 Si 2.42

Calculated values
N(E_F) ... 2.706 states/eV/atom
E ... -8.361 eV/atom
Crystal system ... tetragonal
ΔE_f (raw) ... -643 meV per atom

=====

Below is a relaxed SmPuCdRh crystal, with properties calculated at the PBE-GGA level.

Lattice parameters (Å, degrees): 7.2457 7.2457 7.2457 90.00 90.00 90.00
Last column: nearest neighbours and their distance in Å.
Space group F-43m (No. 216)
Unique sites:
Sm (0.0000, 0.0000, 0.0000)  4 Cd 3.14, 4 Rh 3.14
Pu (0.0000, 0.0000, 0.5000)  4 Cd 3.14, 4 Rh 3.14
Cd (0.2500, 0.2500, 0.7500)  4 Sm 3.14, 4 Pu 3.14
Rh (0.2500, 0.2500, 0.2500)  4 Sm 3.14, 4 Pu 3.14

Calculated values
Formation energy from the elements ... -246 meV/atom
N(E_F) ... 2.453 states/eV/atom
E ... -7.076 eV/atom
Crystal system ... cubic

=====

Below is a relaxed TbPuCdRh crystal, with properties calculated at the PBE-GGA level.

Lattice parameters (Å, degrees): 7.1868 7.1868 7.1868 90.00 90.00 90.00
Last column: nearest neighbours and their distance in Å.
Space group F-43m (No. 216)
Unique sites:
Tb (0.0000, 0.0000, 0.0000)  4 Cd 3.11, 4 Rh 3.11
Pu (0.0000, 0.0000, 0.5000)  4 Rh 3.11, 4 Cd 3.11
Cd (0.2500, 0.2500, 0.2500)  4 Tb 3.11, 4 Pu 3.11
Rh (0.2500, 0.2500, 0.7500)  4 Tb 3.11, 4 Pu 3.11

Calculated values
Formation energy from the elements ... -274 meV/atom
N(E_F) ... 2.307 states/eV/atom
E ... -7.081 eV/atom
Crystal system ... cubic